## Ni2SnO4 (PBE with a Hubbard U)

Data for a geometry-optimized Ni2SnO4 structure.

abc: 11.0164 3.1772 5.1148
angles: 90.00 115.39 90.00
Fractional coordinates of all 14 atoms:
Ni1 0.2050 0.0000 0.1832
Ni2 0.2950 0.5000 0.8168
Ni3 0.7050 0.5000 0.1832
Ni4 0.7950 0.0000 0.8168
Sn1 0.0000 0.5000 0.5000
Sn2 0.5000 0.0000 0.5000
O1 0.1213 0.0000 0.4598
O2 0.1347 0.5000 0.9284
O3 0.3653 0.0000 0.0716
O4 0.3787 0.5000 0.5402
O5 0.6213 0.5000 0.4598
O6 0.6347 0.0000 0.9284
O7 0.8653 0.5000 0.0716
O8 0.8787 0.0000 0.5402

Summary:
magnetic moment	3.996	μB per formula unit
space group	C2/m
raw total energy	-5.370	eV/atom
crystal system	monoclinic